Entry 1:
FeBr2N2: relaxed, GGA-PBE.

```
FeBr2N2
1.0
3.553 0.000 0.000
0.000 4.010 0.000
0.000 0.000 12.996
Fe Br N
2 4 4
Direct
0.000 0.000 0.500 Fe
0.000 0.500 0.000 Fe
0.500 0.732 0.397 Br
0.500 0.268 0.603 Br
0.500 0.768 0.897 Br
0.500 0.232 0.103 Br
0.000 0.718 0.598 N
0.000 0.282 0.402 N
0.000 0.782 0.098 N
0.000 0.218 0.902 N
```

Summary:
As for the space group: Pbam. The calculation puts the uncorrected formation energy at 1.1420 eV per atom.


Entry 2:
Ti6FeCo5: relaxed, GGA-PBE.

```
Ti6FeCo5
1.0
-2.614 1.118 -3.104
-2.025 -5.583 -0.307
-5.776 1.947 2.686
Co Fe Ti
5 1 6
Direct
0.667 0.500 0.666 Co
0.333 0.000 0.334 Co
0.000 0.500 0.000 Co
0.667 0.000 0.666 Co
0.333 0.500 0.334 Co
0.000 0.000 0.000 Fe
0.834 0.751 0.332 Ti
0.834 0.249 0.332 Ti
0.500 0.248 0.000 Ti
0.500 0.752 0.000 Ti
0.166 0.751 0.668 Ti
0.166 0.249 0.668 Ti
```

Summary:
The value obtained for the formation energy from the elements is -4.7 eV/f.u. As for the space group: P2/m.


Entry 3:
BeRh2SeN: relaxed, GGA-PBE.

```
BeRh2SeN
1.0
-3.067 2.562 -2.346
-1.934 -3.330 -1.109
-2.658 0.283 3.785
Be Rh Se N
1 2 1 1
Direct
0.000 0.500 0.000 Be
0.000 0.000 0.500 Rh
0.500 0.000 0.000 Rh
0.000 0.000 0.000 Se
0.500 0.500 0.500 N
```

Summary:
As for the space group: P4/mmm. The calculation puts the uncorrected formation energy at 1.6075 eV per atom.


Number 1: magnetic moment 0.0 μB per formula unit. Number 2: magnetic moment 3.9 μB per formula unit. Number 3: magnetic moment 1.8 μB per formula unit.